(1)
Below is a relaxed structure of RbNp2AgSe4, with properties calculated at the PBE level.

Values from the calculation:
- M_tot (Bohr magnetons per cell) = 16.0
- space-group type = No. 63
- E_form (uncorrected) (eV per formula unit) = -8.05

abc: 7.4612 7.4612 14.8186
angles: 90.00 90.00 146.71
With the nearest neighbours (Å) after each atom.
Element x y z (fractional)
Rb  0.1180  0.8820  0.7500  6 Se 3.30-3.51
Rb  0.8820  0.1180  0.2500  6 Se 3.30-3.51
Np  0.3703  0.6297  0.5634  6 Se 2.89-2.98
Np  0.3703  0.6297  0.9366  6 Se 2.89-2.98
Np  0.6297  0.3703  0.0634  6 Se 2.89-2.98
Np  0.6297  0.3703  0.4366  6 Se 2.89-2.98
Ag  0.1620  0.8380  0.2500  4 Se 2.60-2.63
Ag  0.8380  0.1620  0.7500  4 Se 2.60-2.63
Se  0.0000  0.0000  0.0000  4 Np 2.98
Se  0.0000  0.0000  0.5000  4 Np 2.98
Se  0.2624  0.7376  0.1013  1 Ag 2.63, 3 Np 2.89-2.91
Se  0.2624  0.7376  0.3987  1 Ag 2.63, 3 Np 2.89-2.91
Se  0.4418  0.5582  0.7500  2 Ag 2.60
Se  0.5582  0.4418  0.2500  2 Ag 2.60
Se  0.7376  0.2624  0.6013  1 Ag 2.63, 3 Np 2.89-2.91
Se  0.7376  0.2624  0.8987  1 Ag 2.63, 3 Np 2.89-2.91

=====

(2)
Below is a relaxed structure of Rb2Np3AgSe8, with properties calculated at the PBE level.

Values from the calculation:
- M_tot (Bohr magnetons per cell) = 8.0
- space-group type = No. 160
- E_form (uncorrected) (eV per formula unit) = -13.85

abc: 9.8004 9.8004 9.8004
angles: 49.72 49.72 49.72
With the nearest neighbours (Å) after each atom.
Element x y z (fractional)
Rb  0.0000  0.0000  0.0000  4 Se 3.29-3.35
Rb  0.3526  0.3526  0.3526  6 Se 3.55
Np  0.3548  0.3548  0.8499  6 Se 2.79-2.83
Np  0.3548  0.8499  0.3548  6 Se 2.79-2.83
Np  0.8499  0.3548  0.3548  6 Se 2.79-2.83
Ag  0.8447  0.8447  0.8447  6 Se 2.84-3.05
Se  0.0879  0.0879  0.5629  2 Np 2.79, 1 Ag 3.05
Se  0.0879  0.5629  0.0879  2 Np 2.79, 1 Ag 3.05
Se  0.1282  0.1282  0.1282  3 Np 2.83
Se  0.1416  0.6175  0.6175  2 Np 2.79, 1 Ag 2.84
Se  0.5629  0.0879  0.0879  2 Np 2.79, 1 Ag 3.05
Se  0.5807  0.5807  0.5807  3 Np 2.83
Se  0.6175  0.1416  0.6175  2 Np 2.79, 1 Ag 2.84
Se  0.6175  0.6175  0.1416  2 Np 2.79, 1 Ag 2.84

=====

(3)
Below is a relaxed structure of RbNp4Ag3Se12, with properties calculated at the PBE level.

Values from the calculation:
- M_tot (Bohr magnetons per cell) = 8.0
- space-group type = No. 204
- E_form (uncorrected) (eV per formula unit) = -13.29

abc: 8.9801 8.9801 8.9801
angles: 109.47 109.47 109.47
With the nearest neighbours (Å) after each atom.
Element x y z (fractional)
Rb  0.0000  0.0000  0.0000  12 Se 3.69
Np  0.0000  0.0000  0.5000  6 Se 2.76
Np  0.0000  0.5000  0.0000  6 Se 2.76
Np  0.5000  0.0000  0.0000  6 Se 2.76
Np  0.5000  0.5000  0.5000  6 Se 2.76
Ag  0.0000  0.5000  0.5000  4 Se 2.73
Ag  0.5000  0.0000  0.5000  4 Se 2.73
Ag  0.5000  0.5000  0.0000  4 Se 2.73
Se  0.1279  0.8208  0.3072  1 Ag 2.73, 2 Np 2.76
Se  0.1792  0.3072  0.4864  1 Ag 2.73, 2 Np 2.76
Se  0.1792  0.6928  0.8721  1 Ag 2.73, 2 Np 2.76
Se  0.3072  0.1279  0.8208  1 Ag 2.73, 2 Np 2.76
Se  0.3072  0.4864  0.1792  1 Ag 2.73, 2 Np 2.76
Se  0.4864  0.1792  0.3072  1 Ag 2.73, 2 Np 2.76
Se  0.5136  0.8208  0.6928  1 Ag 2.73, 2 Np 2.76
Se  0.6928  0.5136  0.8208  1 Ag 2.73, 2 Np 2.76
Se  0.6928  0.8721  0.1792  1 Ag 2.73, 2 Np 2.76
Se  0.8208  0.3072  0.1279  1 Ag 2.73, 2 Np 2.76
Se  0.8208  0.6928  0.5136  1 Ag 2.73, 2 Np 2.76
Se  0.8721  0.1792  0.6928  1 Ag 2.73, 2 Np 2.76

=====

(4)
Below is a relaxed structure of Rb3Np3AgSe8, with properties calculated at the PBE level.

Values from the calculation:
- M_tot (Bohr magnetons per cell) = 9.0
- space-group type = No. 166
- E_form (uncorrected) (eV per formula unit) = -15.73

abc: 9.3917 9.3917 9.3917
angles: 52.79 52.79 52.79
With the nearest neighbours (Å) after each atom.
Element x y z (fractional)
Rb  0.0000  0.5000  0.5000  6 Se 3.44-3.51
Rb  0.5000  0.0000  0.5000  6 Se 3.44-3.51
Rb  0.5000  0.5000  0.0000  6 Se 3.44-3.51
Np  0.0000  0.0000  0.5000  6 Se 2.82-2.88
Np  0.0000  0.5000  0.0000  6 Se 2.82-2.88
Np  0.5000  0.0000  0.0000  6 Se 2.82-2.88
Ag  0.5000  0.5000  0.5000  6 Se 2.96
Se  0.2148  0.7383  0.7383  2 Np 2.82, 1 Ag 2.96
Se  0.2321  0.2321  0.2321  3 Np 2.88
Se  0.2617  0.2617  0.7852  2 Np 2.82, 1 Ag 2.96
Se  0.2617  0.7852  0.2617  2 Np 2.82, 1 Ag 2.96
Se  0.7383  0.2148  0.7383  2 Np 2.82, 1 Ag 2.96
Se  0.7383  0.7383  0.2148  2 Np 2.82, 1 Ag 2.96
Se  0.7679  0.7679  0.7679  3 Np 2.88
Se  0.7852  0.2617  0.2617  2 Np 2.82, 1 Ag 2.96

=====

Number 1: V 28.3 Å³ per atom. Number 2: V 36.0 Å³ per atom. Number 3: V 27.9 Å³ per atom. Number 4: V 32.4 Å³ per atom.